1.
DFT (PBE-GGA) results for an optimized crystal structure of SmMgAgRh.

```
16
Lattice="6.8906 0.0000 0.0000 0.0000 6.8906 0.0000 0.0000 0.0000 6.8906" Properties=species:S:1:pos:R:3 pbc="T T T"
Sm 0.0000 0.0000 0.0000
Sm 0.0000 3.4453 3.4453
Sm 3.4453 0.0000 3.4453
Sm 3.4453 3.4453 0.0000
Mg 0.0000 0.0000 3.4453
Mg 0.0000 3.4453 0.0000
Mg 3.4453 0.0000 0.0000
Mg 3.4453 3.4453 3.4453
Ag 1.7227 1.7227 1.7227
Ag 1.7227 5.1680 5.1680
Ag 5.1680 1.7227 5.1680
Ag 5.1680 5.1680 1.7227
Rh 1.7227 1.7227 5.1680
Rh 1.7227 5.1680 1.7227
Rh 5.1680 1.7227 1.7227
Rh 5.1680 5.1680 5.1680
```

Calculated values
uncorrected energy = -0.16644 hartree per atom
space group = F-43m (216)
M_tot = 0.00 μB/f.u.
ΔH_f (0 K) = -400 meV/atom

2.
DFT (PBE-GGA) results for an optimized crystal structure of MgAgSnRh.

```
16
Lattice="6.5509 0.0000 0.0000 0.0000 6.5509 0.0000 0.0000 0.0000 6.5509" Properties=species:S:1:pos:R:3 pbc="T T T"
Mg 0.0000 0.0000 0.0000
Mg 0.0000 3.2755 3.2755
Mg 3.2755 0.0000 3.2755
Mg 3.2755 3.2755 0.0000
Ag 1.6377 1.6377 1.6377
Ag 1.6377 4.9132 4.9132
Ag 4.9132 1.6377 4.9132
Ag 4.9132 4.9132 1.6377
Sn 0.0000 0.0000 3.2755
Sn 0.0000 3.2755 0.0000
Sn 3.2755 0.0000 0.0000
Sn 3.2755 3.2755 3.2755
Rh 1.6377 1.6377 4.9132
Rh 1.6377 4.9132 1.6377
Rh 4.9132 1.6377 1.6377
Rh 4.9132 4.9132 4.9132
```

Calculated values
uncorrected energy = -0.15646 hartree per atom
space group = F-43m (216)
M_tot = 0.00 μB/f.u.
ΔH_f (0 K) = -307 meV/atom

3.
DFT (PBE-GGA) results for an optimized crystal structure of Mg5AgSn2Rh2.

```
20
Lattice="9.4971 0.0000 0.0000 0.0000 9.4971 0.0000 0.0000 0.0000 4.2804" Properties=species:S:1:pos:R:3 pbc="T T T"
Mg 0.0000 4.7486 0.0000
Mg 0.7650 1.9369 0.0000
Mg 1.9369 8.7321 0.0000
Mg 2.8117 3.9836 0.0000
Mg 3.9836 6.6854 0.0000
Mg 4.7486 0.0000 0.0000
Mg 5.5135 2.8117 0.0000
Mg 6.6854 5.5135 0.0000
Mg 7.5602 0.7650 0.0000
Mg 8.7321 7.5602 0.0000
Ag 0.0000 0.0000 2.1402
Ag 4.7486 4.7486 2.1402
Sn 1.6238 6.3723 2.1402
Sn 3.1248 1.6238 2.1402
Sn 6.3723 7.8733 2.1402
Sn 7.8733 3.1248 2.1402
Rh 1.1498 3.5987 2.1402
Rh 3.5987 8.3473 2.1402
Rh 5.8984 1.1498 2.1402
Rh 8.3473 5.8984 2.1402
```

Calculated values
uncorrected energy = -0.13457 hartree per atom
space group = P4/mbm (127)
M_tot = 0.00 μB/f.u.
ΔH_f (0 K) = -309 meV/atom

4.
DFT (PBE-GGA) results for an optimized crystal structure of SrMg2AgRh.

```
5
Lattice="4.9145 0.0000 0.0000 0.0000 4.9145 0.0000 0.0000 0.0000 5.3720" Properties=species:S:1:pos:R:3 pbc="T T T"
Sr 0.0000 0.0000 0.0000
Mg 0.0000 2.4572 2.6860
Mg 2.4572 0.0000 2.6860
Ag 2.4572 2.4572 0.0000
Rh 2.4572 2.4572 2.6860
```

Calculated values
uncorrected energy = -0.11611 hartree per atom
space group = P4/mmm (123)
M_tot = 0.00 μB/f.u.
ΔH_f (0 K) = -145 meV/atom

5.
DFT (PBE-GGA) results for an optimized crystal structure of ThMgAgRh.

```
16
Lattice="6.9886 0.0000 0.0000 0.0000 6.9886 0.0000 0.0000 0.0000 6.9886" Properties=species:S:1:pos:R:3 pbc="T T T"
Th 0.0000 0.0000 0.0000
Th 0.0000 3.4943 3.4943
Th 3.4943 0.0000 3.4943
Th 3.4943 3.4943 0.0000
Mg 0.0000 0.0000 3.4943
Mg 0.0000 3.4943 0.0000
Mg 3.4943 0.0000 0.0000
Mg 3.4943 3.4943 3.4943
Ag 1.7472 1.7472 5.2415
Ag 1.7472 5.2415 1.7472
Ag 5.2415 1.7472 1.7472
Ag 5.2415 5.2415 5.2415
Rh 1.7472 1.7472 1.7472
Rh 1.7472 5.2415 5.2415
Rh 5.2415 1.7472 5.2415
Rh 5.2415 5.2415 1.7472
```

Calculated values
uncorrected energy = -0.18998 hartree per atom
space group = F-43m (216)
M_tot = 0.00 μB/f.u.
ΔH_f (0 K) = -365 meV/atom

6.
DFT (PBE-GGA) results for an optimized crystal structure of MgTiAgRh.

```
16
Lattice="6.3818 0.0000 0.0000 0.0000 6.3818 0.0000 0.0000 0.0000 6.3818" Properties=species:S:1:pos:R:3 pbc="T T T"
Mg 0.0000 0.0000 0.0000
Mg 0.0000 3.1909 3.1909
Mg 3.1909 0.0000 3.1909
Mg 3.1909 3.1909 0.0000
Ti 0.0000 0.0000 3.1909
Ti 0.0000 3.1909 0.0000
Ti 3.1909 0.0000 0.0000
Ti 3.1909 3.1909 3.1909
Ag 1.5954 1.5954 1.5954
Ag 1.5954 4.7863 4.7863
Ag 4.7863 1.5954 4.7863
Ag 4.7863 4.7863 1.5954
Rh 1.5954 1.5954 4.7863
Rh 1.5954 4.7863 1.5954
Rh 4.7863 1.5954 1.5954
Rh 4.7863 4.7863 4.7863
```

Calculated values
uncorrected energy = -0.19269 hartree per atom
space group = F-43m (216)
M_tot = 0.00 μB/f.u.
ΔH_f (0 K) = -320 meV/atom

7.
DFT (PBE-GGA) results for an optimized crystal structure of YMgAgRh.

```
16
Lattice="6.8057 0.0000 0.0000 0.0000 6.8057 0.0000 0.0000 0.0000 6.8057" Properties=species:S:1:pos:R:3 pbc="T T T"
Y 0.0000 0.0000 0.0000
Y 0.0000 3.4029 3.4029
Y 3.4029 0.0000 3.4029
Y 3.4029 3.4029 0.0000
Mg 0.0000 0.0000 3.4029
Mg 0.0000 3.4029 0.0000
Mg 3.4029 0.0000 0.0000
Mg 3.4029 3.4029 3.4029
Ag 1.7014 1.7014 1.7014
Ag 1.7014 5.1043 5.1043
Ag 5.1043 1.7014 5.1043
Ag 5.1043 5.1043 1.7014
Rh 1.7014 1.7014 5.1043
Rh 1.7014 5.1043 1.7014
Rh 5.1043 1.7014 1.7014
Rh 5.1043 5.1043 5.1043
```

Calculated values
uncorrected energy = -0.18469 hartree per atom
space group = F-43m (216)
M_tot = 0.00 μB/f.u.
ΔH_f (0 K) = -460 meV/atom

8.
DFT (PBE-GGA) results for an optimized crystal structure of Mg3Zn3AgRh2.

```
9
Lattice="7.5260 0.0000 0.0000 -3.7630 6.5177 0.0000 0.0000 0.0000 2.9672" Properties=species:S:1:pos:R:3 pbc="T T T"
Mg -2.6186 4.5355 0.0000
Mg 1.1444 1.9822 0.0000
Mg 5.2371 0.0000 0.0000
Zn -1.4428 2.4989 1.4836
Zn 2.8855 0.0000 1.4836
Zn 2.3202 4.0188 1.4836
Ag 0.0000 0.0000 1.4836
Rh 0.0000 4.3451 0.0000
Rh 3.7630 2.1726 0.0000
```

Calculated values
uncorrected energy = -0.11551 hartree per atom
space group = P-62m (189)
M_tot = 0.00 μB/f.u.
ΔH_f (0 K) = -237 meV/atom

9.
DFT (PBE-GGA) results for an optimized crystal structure of MgZrAgRh.

```
16
Lattice="6.5980 0.0000 0.0000 0.0000 6.5980 0.0000 0.0000 0.0000 6.5980" Properties=species:S:1:pos:R:3 pbc="T T T"
Mg 0.0000 0.0000 0.0000
Mg 0.0000 3.2990 3.2990
Mg 3.2990 0.0000 3.2990
Mg 3.2990 3.2990 0.0000
Zr 0.0000 0.0000 3.2990
Zr 0.0000 3.2990 0.0000
Zr 3.2990 0.0000 0.0000
Zr 3.2990 3.2990 3.2990
Ag 1.6495 1.6495 1.6495
Ag 1.6495 4.9485 4.9485
Ag 4.9485 1.6495 4.9485
Ag 4.9485 4.9485 1.6495
Rh 1.6495 1.6495 4.9485
Rh 1.6495 4.9485 1.6495
Rh 4.9485 1.6495 1.6495
Rh 4.9485 4.9485 4.9485
```

Calculated values
uncorrected energy = -0.20115 hartree per atom
space group = F-43m (216)
M_tot = 0.00 μB/f.u.
ΔH_f (0 K) = -387 meV/atom

10.
DFT (PBE-GGA) results for an optimized crystal structure of Mg3AgRu.

```
5
Lattice="4.9115 0.0000 0.0000 0.0000 4.9115 0.0000 0.0000 0.0000 4.9115" Properties=species:S:1:pos:R:3 pbc="T T T"
Mg 0.0000 0.0000 2.4557
Mg 0.0000 2.4557 0.0000
Mg 2.4557 0.0000 0.0000
Ag 2.4557 2.4557 2.4557
Ru 0.0000 0.0000 0.0000
```

Calculated values
E above lowest polymorph = 0 meV per atom
uncorrected energy = -0.10799 hartree per atom
space group = Pm-3m (221)
M_tot = 0.00 μB/f.u.
ΔH_f (0 K) = 444 meV/atom

11.
DFT (PBE-GGA) results for an optimized crystal structure of Mg4AgRu.

```
6
Lattice="0.0000 3.8313 3.8313 3.8313 0.0000 3.8313 3.8313 3.8313 0.0000" Properties=species:S:1:pos:R:3 pbc="T T T"
Mg 0.9545 0.9545 0.9545
Mg 2.8768 2.8768 0.9545
Mg 2.8768 0.9545 2.8768
Mg 0.9545 2.8768 2.8768
Ag 3.8313 3.8313 3.8313
Ru 5.7470 5.7470 5.7470
```

Calculated values
uncorrected energy = -0.09940 hartree per atom
space group = F-43m (216)
M_tot = 0.00 μB/f.u.
ΔH_f (0 K) = 379 meV/atom

12.
DFT (PBE-GGA) results for an optimized crystal structure of Mg2AgRu2.

```
10
Lattice="7.8001 0.0000 0.0000 0.0000 7.8001 0.0000 0.0000 0.0000 2.8629" Properties=species:S:1:pos:R:3 pbc="T T T"
Mg 1.4162 2.4838 0.0000
Mg 2.4838 6.3839 0.0000
Mg 5.3163 1.4162 0.0000
Mg 6.3839 5.3163 0.0000
Ag 0.0000 0.0000 0.0000
Ag 3.9001 3.9001 0.0000
Ru 0.8542 4.7542 1.4315
Ru 3.0459 0.8542 1.4315
Ru 4.7542 6.9459 1.4315
Ru 6.9459 3.0459 1.4315
```

Calculated values
E above lowest polymorph = 87 meV per atom
uncorrected energy = -0.16818 hartree per atom
space group = P4/mbm (127)
M_tot = 1.67 μB/f.u.
ΔH_f (0 K) = 342 meV/atom

13.
DFT (PBE-GGA) results for an optimized crystal structure of Mg2AgRu2.

```
10
Lattice="3.4990 0.0000 0.0000 0.0000 3.4990 0.0000 0.0000 0.0000 15.2325" Properties=species:S:1:pos:R:3 pbc="T T T"
Mg 0.0000 0.0000 1.5861
Mg 0.0000 0.0000 13.6464
Mg 1.7495 1.7495 6.0302
Mg 1.7495 1.7495 9.2023
Ag 0.0000 0.0000 7.6163
Ag 1.7495 1.7495 0.0000
Ru 0.0000 1.7495 3.8081
Ru 0.0000 1.7495 11.4244
Ru 1.7495 0.0000 3.8081
Ru 1.7495 0.0000 11.4244
```

Calculated values
E above lowest polymorph = 35 meV per atom
uncorrected energy = -0.17010 hartree per atom
space group = I4/mmm (139)
M_tot = 0.00 μB/f.u.
ΔH_f (0 K) = 290 meV/atom

14.
DFT (PBE-GGA) results for an optimized crystal structure of Mg2AgRu2.

```
10
Lattice="7.1308 0.0000 0.0000 0.0000 7.1308 0.0000 0.0000 0.0000 3.3831" Properties=species:S:1:pos:R:3 pbc="T T T"
Mg 1.2729 2.2925 0.0000
Mg 2.2925 5.8579 0.0000
Mg 4.8383 1.2729 0.0000
Mg 5.8579 4.8383 0.0000
Ag 0.0000 0.0000 1.6916
Ag 3.5654 3.5654 1.6916
Ru 0.8353 4.4008 1.6916
Ru 2.7301 0.8353 1.6916
Ru 4.4008 6.2955 1.6916
Ru 6.2955 2.7301 1.6916
```

Calculated values
E above lowest polymorph = 0 meV per atom
uncorrected energy = -0.17137 hartree per atom
space group = P4/mbm (127)
M_tot = 0.92 μB/f.u.
ΔH_f (0 K) = 255 meV/atom

15.
DFT (PBE-GGA) results for an optimized crystal structure of MgScAg2Ru.

```
5
Lattice="4.6763 0.0000 0.0000 0.0000 4.6763 0.0000 0.0000 0.0000 4.7336" Properties=species:S:1:pos:R:3 pbc="T T T"
Mg 0.0000 0.0000 0.0000
Sc 2.3381 2.3381 2.3668
Ag 0.0000 2.3381 0.0000
Ag 2.3381 0.0000 0.0000
Ru 0.0000 0.0000 2.3668
```

Calculated values
uncorrected energy = -0.14371 hartree per atom
space group = P4/mmm (123)
M_tot = 0.00 μB/f.u.
ΔH_f (0 K) = 670 meV/atom

16.
DFT (PBE-GGA) results for an optimized crystal structure of MgScAgRu.

```
16
Lattice="6.5172 0.0000 0.0000 0.0000 6.5172 0.0000 0.0000 0.0000 6.5172" Properties=species:S:1:pos:R:3 pbc="T T T"
Mg 0.0000 0.0000 0.0000
Mg 0.0000 3.2586 3.2586
Mg 3.2586 0.0000 3.2586
Mg 3.2586 3.2586 0.0000
Sc 0.0000 0.0000 3.2586
Sc 0.0000 3.2586 0.0000
Sc 3.2586 0.0000 0.0000
Sc 3.2586 3.2586 3.2586
Ag 1.6293 1.6293 4.8879
Ag 1.6293 4.8879 1.6293
Ag 4.8879 1.6293 1.6293
Ag 4.8879 4.8879 4.8879
Ru 1.6293 1.6293 1.6293
Ru 1.6293 4.8879 4.8879
Ru 4.8879 1.6293 4.8879
Ru 4.8879 4.8879 1.6293
```

Calculated values
uncorrected energy = -0.19350 hartree per atom
space group = F-43m (216)
M_tot = 0.00 μB/f.u.
ΔH_f (0 K) = -252 meV/atom

17.
DFT (PBE-GGA) results for an optimized crystal structure of MgAgRuSe2.

```
5
Lattice="4.9284 0.0000 0.0000 0.0000 4.9284 0.0000 0.0000 0.0000 4.8955" Properties=species:S:1:pos:R:3 pbc="T T T"
Mg 0.0000 0.0000 0.0000
Ag 2.4642 2.4642 2.4478
Ru 0.0000 0.0000 2.4478
Se 0.0000 2.4642 0.0000
Se 2.4642 0.0000 0.0000
```

Calculated values
E above lowest polymorph = 578 meV per atom
uncorrected energy = -0.12070 hartree per atom
space group = P4/mmm (123)
M_tot = 2.56 μB/f.u.

18.
DFT (PBE-GGA) results for an optimized crystal structure of MgAgRuSe2.

```
5
Lattice="4.8282 0.0000 0.0000 0.0000 4.8282 0.0000 0.0000 0.0000 4.9519" Properties=species:S:1:pos:R:3 pbc="T T T"
Mg 0.0000 0.0000 0.0000
Ag 2.4141 2.4141 0.0000
Ru 0.0000 0.0000 2.4759
Se 0.0000 2.4141 2.4759
Se 2.4141 0.0000 2.4759
```

Calculated values
E above lowest polymorph = 0 meV per atom
uncorrected energy = -0.14194 hartree per atom
space group = P4/mmm (123)
M_tot = 0.00 μB/f.u.

19.
DFT (PBE-GGA) results for an optimized crystal structure of SmMgAgRu.

```
16
Lattice="6.8530 0.0000 0.0000 0.0000 6.8530 0.0000 0.0000 0.0000 6.8530" Properties=species:S:1:pos:R:3 pbc="T T T"
Sm 0.0000 0.0000 0.0000
Sm 0.0000 3.4265 3.4265
Sm 3.4265 0.0000 3.4265
Sm 3.4265 3.4265 0.0000
Mg 0.0000 0.0000 3.4265
Mg 0.0000 3.4265 0.0000
Mg 3.4265 0.0000 0.0000
Mg 3.4265 3.4265 3.4265
Ag 1.7132 1.7132 1.7132
Ag 1.7132 5.1397 5.1397
Ag 5.1397 1.7132 5.1397
Ag 5.1397 5.1397 1.7132
Ru 1.7132 1.7132 5.1397
Ru 1.7132 5.1397 1.7132
Ru 5.1397 1.7132 1.7132
Ru 5.1397 5.1397 5.1397
```

Calculated values
uncorrected energy = -0.17303 hartree per atom
space group = F-43m (216)
M_tot = 0.00 μB/f.u.
ΔH_f (0 K) = -98 meV/atom

20.
DFT (PBE-GGA) results for an optimized crystal structure of MgAgSnRu.

```
16
Lattice="6.5269 0.0000 0.0000 0.0000 6.5269 0.0000 0.0000 0.0000 6.5269" Properties=species:S:1:pos:R:3 pbc="T T T"
Mg 0.0000 0.0000 0.0000
Mg 0.0000 3.2634 3.2634
Mg 3.2634 0.0000 3.2634
Mg 3.2634 3.2634 0.0000
Ag 1.6317 1.6317 4.8952
Ag 1.6317 4.8952 1.6317
Ag 4.8952 1.6317 1.6317
Ag 4.8952 4.8952 4.8952
Sn 0.0000 0.0000 3.2634
Sn 0.0000 3.2634 0.0000
Sn 3.2634 0.0000 0.0000
Sn 3.2634 3.2634 3.2634
Ru 1.6317 1.6317 1.6317
Ru 1.6317 4.8952 4.8952
Ru 4.8952 1.6317 4.8952
Ru 4.8952 4.8952 1.6317
```

Calculated values
uncorrected energy = -0.16470 hartree per atom
space group = F-43m (216)
M_tot = 0.00 μB/f.u.
ΔH_f (0 K) = -51 meV/atom